# 1
AcPrCuIr, relaxed, DFT GGA-PBE; E_tot = -5.7908 eV/atom; magnetic moment = 0.00 Bohr magnetons per cell; space-group type = No. 216
1.0
-4.529 2.068 1.460
-1.259 0.201 5.030
-0.093 4.562 2.471
Pr Ac Ir Cu
1 1 1 1
Direct
0.500 0.500 0.500
0.000 0.000 0.000
0.750 0.750 0.750
0.250 0.250 0.250

***

# 2
Ac2CuIrPt6, relaxed, DFT GGA-PBE; E_tot = -5.8951 eV/atom; magnetic moment = 2.42 Bohr magnetons per cell; space-group type = No. 225
1.0
6.848 0.000 0.000
0.000 6.848 0.000
3.424 3.424 4.842
Ac Cu Ir Pt
2 1 1 6
Direct
0.250 0.750 0.500
0.750 0.250 0.500
0.000 0.000 0.000
0.500 0.500 0.000
0.243 0.757 0.000
0.756 0.756 0.000
0.243 0.243 0.513
0.757 0.243 0.000
0.244 0.244 0.000
0.757 0.757 0.487

***

# 3
AcPuCuIr, relaxed, DFT GGA-PBE; E_tot = -8.0475 eV/atom; magnetic moment = 5.78 Bohr magnetons per cell; space-group type = No. 216
1.0
-0.458 -1.071 4.960
-4.411 -1.780 1.825
-0.352 -4.844 1.538
Ac Ir Cu Pu
1 1 1 1
Direct
0.500 0.500 0.500
0.750 0.750 0.750
0.250 0.250 0.250
0.000 0.000 0.000

***

# 4
Ac6CuIr2Rh, relaxed, DFT GGA-PBE; E_tot = -5.8641 eV/atom; magnetic moment = 0.00 Bohr magnetons per cell; space-group type = No. 1
1.0
7.544 -0.004 0.002
3.769 6.538 0.000
3.773 2.178 6.991
Ac Cu Ir Rh
6 1 2 1
Direct
0.608 0.237 0.255
0.238 0.899 0.255
0.900 0.607 0.255
0.413 0.751 0.743
0.750 0.093 0.744
0.092 0.413 0.744
0.328 0.328 0.018
0.501 0.501 0.495
0.005 0.005 0.986
0.827 0.827 0.519